# 1
Compound: DySc5Sb6
Source: the Alexandria database
Functional: GGA-PBE
Structure: relaxed

abc: 7.2814 7.2814 7.2834
angles: 99.62 99.62 120.05
Atoms (fractional coordinates):
Dy 0.0000 0.0000 0.0000
Sc 0.1625 0.8375 0.5000
Sc 0.3319 0.6681 0.0000
Sc 0.5000 0.5000 0.5000
Sc 0.6681 0.3319 0.0000
Sc 0.8375 0.1625 0.5000
Sb 0.0858 0.4277 0.2565
Sb 0.2585 0.2585 0.7477
Sb 0.4277 0.0858 0.2565
Sb 0.5723 0.9142 0.7435
Sb 0.7415 0.7415 0.2523
Sb 0.9142 0.5723 0.7435

Values from the calculation:
- Raw total energy: -6.046 eV per atom
- Crystal system: monoclinic
- Formation energy from raw total energies: -0.963 eV per atom
- DOS(E_F): 2.48 states/eV/f.u.

---

# 2
Compound: Dy2Sc3Sb2
Source: the Alexandria database
Functional: GGA-PBE
Structure: relaxed

abc: 6.1441 6.1441 8.1411
angles: 109.76 109.76 39.67
Atoms (fractional coordinates):
Dy 0.1298 0.1298 0.2820
Dy 0.8702 0.8702 0.7180
Sc 0.3760 0.3760 0.0557
Sc 0.5000 0.5000 0.5000
Sc 0.6240 0.6240 0.9443
Sb 0.1656 0.1656 0.7053
Sb 0.8344 0.8344 0.2947

Values from the calculation:
- Raw total energy: -5.850 eV per atom
- Crystal system: monoclinic
- Formation energy from raw total energies: -0.644 eV per atom
- DOS(E_F): 9.07 states/eV/f.u.

---

# 3
Compound: Dy2ScSb2
Source: the Alexandria database
Functional: GGA-PBE
Structure: relaxed

abc: 7.7395 7.7395 7.7395
angles: 117.27 81.87 133.09
Atoms (fractional coordinates):
Dy 0.1493 0.1484 0.2977
Dy 0.3507 0.6484 0.9991
Dy 0.6493 0.3516 0.0009
Dy 0.8507 0.8516 0.7023
Sc 0.2500 0.7500 0.5000
Sc 0.7500 0.2500 0.5000
Sb 0.1078 0.7734 0.8812
Sb 0.3922 0.2734 0.6657
Sb 0.6078 0.7266 0.3343
Sb 0.8922 0.2266 0.1188

Values from the calculation:
- Raw total energy: -5.552 eV per atom
- Crystal system: orthorhombic
- Formation energy from raw total energies: -0.795 eV per atom
- DOS(E_F): 3.78 states/eV/f.u.

---

# 4
Compound: DyScSb
Source: the Alexandria database
Functional: GGA-PBE
Structure: relaxed

abc: 7.9824 7.9824 7.9824
angles: 38.47 38.47 38.47
Atoms (fractional coordinates):
Dy 0.0791 0.0791 0.0791
Dy 0.9209 0.9209 0.9209
Sc 0.3506 0.3506 0.3506
Sc 0.6494 0.6494 0.6494
Sb 0.2228 0.2228 0.2228
Sb 0.7772 0.7772 0.7772

Values from the calculation:
- Raw total energy: -5.457 eV per atom
- Crystal system: trigonal
- Formation energy from raw total energies: -0.438 eV per atom
- DOS(E_F): 1.61 states/eV/f.u.

---

# 5
Compound: DyScSb
Source: the Alexandria database
Functional: GGA-PBE
Structure: relaxed

abc: 8.1199 8.1199 10.4248
angles: 90.34 90.34 29.33
Atoms (fractional coordinates):
Dy 0.0354 0.0354 0.3568
Dy 0.3997 0.3997 0.1439
Dy 0.6003 0.6003 0.8561
Dy 0.9646 0.9646 0.6432
Sc 0.1987 0.1987 0.0801
Sc 0.2419 0.2419 0.6688
Sc 0.7581 0.7581 0.3312
Sc 0.8013 0.8013 0.9199
Sb 0.3777 0.3777 0.4463
Sb 0.4093 0.4093 0.8366
Sb 0.5907 0.5907 0.1634
Sb 0.6223 0.6223 0.5537

Values from the calculation:
- Raw total energy: -5.574 eV per atom
- Crystal system: monoclinic
- Formation energy from raw total energies: -0.556 eV per atom
- DOS(E_F): 4.12 states/eV/f.u.

---

# 6
Compound: Dy3ScSb4
Source: the Alexandria database
Functional: GGA-PBE
Structure: relaxed

abc: 7.5012 8.6834 7.5040
angles: 90.00 109.50 90.00
Atoms (fractional coordinates):
Dy 0.0000 0.1244 0.2500
Dy 0.0000 0.3740 0.7500
Dy 0.0000 0.6260 0.2500
Dy 0.0000 0.8756 0.7500
Dy 0.5000 0.3742 0.2500
Dy 0.5000 0.6258 0.7500
Sc 0.5000 0.1244 0.7500
Sc 0.5000 0.8756 0.2500
Sb 0.2545 0.3700 0.5050
Sb 0.2545 0.6300 0.0050
Sb 0.2600 0.1197 0.9997
Sb 0.2600 0.8803 0.4997
Sb 0.7400 0.1197 0.5003
Sb 0.7400 0.8803 0.0003
Sb 0.7455 0.3700 0.9950
Sb 0.7455 0.6300 0.4950

Values from the calculation:
- Raw total energy: -5.651 eV per atom
- Crystal system: monoclinic
- Formation energy from raw total energies: -1.073 eV per atom
- DOS(E_F): 0.92 states/eV/f.u.